Computed, not measured: a geometry-optimized Be4MoRh structure at the GGA-PBE level of DFT.

a b c (Å): 4.4037 4.4037 4.4037
angles (deg): 60.00 60.00 60.00
Fractional positions:
Be (0.1220, 0.1220, 0.1220)
Be (0.1220, 0.1220, 0.6339)
Be (0.1220, 0.6339, 0.1220)
Be (0.6339, 0.1220, 0.1220)
Mo (0.7500, 0.7500, 0.7500)
Rh (0.5000, 0.5000, 0.5000)

* energy relative to the elements: -310 meV/atom
* symmetry: F-43m

Computed, not measured: a geometry-optimized LuZnGaTc structure at the GGA-PBE level of DFT.

a b c (Å): 4.5730 4.5730 4.5730
angles (deg): 60.00 60.00 60.00
Fractional positions:
Lu (0.0000, 0.0000, 0.0000)
Zn (0.7500, 0.7500, 0.7500)
Ga (0.2500, 0.2500, 0.2500)
Tc (0.5000, 0.5000, 0.5000)

* energy relative to the elements: -165 meV/atom
* symmetry: F-43m

Computed, not measured: a geometry-optimized RbZn2W structure at the GGA-PBE level of DFT.

a b c (Å): 5.0187 5.0187 5.0187
angles (deg): 60.00 60.00 60.00
Fractional positions:
Rb (0.0000, 0.0000, 0.0000)
Zn (0.2500, 0.2500, 0.2500)
Zn (0.7500, 0.7500, 0.7500)
W (0.5000, 0.5000, 0.5000)

* energy relative to the elements: 1347 meV/atom
* symmetry: Fm-3m